A relaxed CuBI crystal, computed with PBE.

Cell and atoms, written as POSCAR:
```
CuBI
1.0
-3.3636 -0.0420 2.1307
0.2824 -3.0523 2.5451
3.9279 7.5798 3.9103
B Cu I
2 2 2
Direct
0.3405 0.6143 0.4463
0.6595 0.3857 0.5537
0.1934 0.1932 0.4998
0.8066 0.8068 0.5002
0.6810 0.5755 0.8035
0.3190 0.4245 0.1965
```

Computed properties:
Formation energy without anion corrections, meV/atom: 145
Crystal system: triclinic
Fermi-level density of states, states/eV/f.u.: 0.86